1.
The following is a DFT calculation (PBE-GGA) of a geometry-optimized Rb2InSiSe4 structure.

abc: 7.1564 7.1564 7.1564
angles: 103.56 112.50 112.50
Last column: nearest neighbours and their distance in Å.
Fractional positions:
1 Rb 0.5000 0.7500 0.2500  4 Se 3.38
2 Rb 0.0000 0.0000 0.0000  8 Se 3.76-3.89
3 In 0.5000 0.2500 0.7500  4 Se 2.84
4 Si 0.0000 0.5000 0.5000  4 Se 2.31
5 Se 0.6548 0.4385 0.4913  1 Si 2.31
6 Se 0.0528 0.2163 0.5615  1 Si 2.31
7 Se 0.9472 0.5087 0.1635  1 Si 2.31
8 Se 0.3452 0.8365 0.7837  1 Si 2.31

The formation energy without anion corrections comes out at -6.063 eV/f.u.



2.
The following is a DFT calculation (PBE-GGA) of a geometry-optimized RbSmInSe3 structure.

abc: 4.6989 9.0765 10.3619
angles: 107.61 90.00 90.00
Last column: nearest neighbours and their distance in Å.
Fractional positions:
1 Rb 0.2500 0.2165 0.2358  5 Se 3.56-3.77
2 Rb 0.7500 0.7835 0.7642  5 Se 3.56-3.77
3 Sm 0.2500 0.6655 0.1353  6 Se 2.85-3.09
4 Sm 0.7500 0.3345 0.8647  6 Se 2.85-3.09
5 In 0.2500 0.1087 0.5958  3 Se 2.68-2.72
6 In 0.7500 0.8913 0.4042  3 Se 2.68-2.72
7 Se 0.7500 0.8875 0.1449  1 In 2.68
8 Se 0.2500 0.1125 0.8551  1 In 2.68
9 Se 0.2500 0.7640 0.4484  3 In 2.72-3.04
10 Se 0.7500 0.2360 0.5516  3 In 2.72-3.04
11 Se 0.7500 0.4671 0.1513  3 Sm 2.85-3.00
12 Se 0.2500 0.5329 0.8487  3 Sm 2.85-3.00

The formation energy without anion corrections comes out at -7.108 eV/f.u.